Record 1
## Th8GaFe2 (GGA-PBE)

Data for crystalline Th8GaFe2 at its relaxed geometry.

a b c (Å): 7.8537 7.8537 5.8013
angles (deg): 97.81 97.81 117.05
Fractional coordinates of all 11 atoms:
Th 0.0000 0.0000 0.0000
Th 0.0452 0.2969 0.6146
Th 0.1644 0.6340 0.1938
Th 0.2969 0.0452 0.6146
Th 0.4873 0.7369 0.7777
Th 0.6340 0.1644 0.1938
Th 0.7369 0.4873 0.7777
Th 0.7679 0.7679 0.3698
Ga 0.3865 0.3865 0.0923
Fe 0.1127 0.6684 0.6882
Fe 0.6684 0.1127 0.6882

Properties
DFT formation energy	0.017	eV per atom
spin magnetization	0.00	μB/cell

=====

Record 2
## PaCdSnO (GGA-PBE)

Data for crystalline PaCdSnO at its relaxed geometry.

a b c (Å): 4.1378 4.1378 9.6976
angles (deg): 90.00 90.00 90.00
Fractional coordinates of all 8 atoms:
Pa 0.2500 0.2500 0.1246
Pa 0.7500 0.7500 0.8754
Cd 0.2500 0.7500 0.5000
Cd 0.7500 0.2500 0.5000
Sn 0.2500 0.2500 0.7191
Sn 0.7500 0.7500 0.2809
O 0.2500 0.7500 0.0000
O 0.7500 0.2500 0.0000

Properties
energy relative to the elements, uncorrected	-1287	meV/atom
spin magnetization	2.14	μB/cell

=====

Record 3
## TbNd3Ho2Tm6 (GGA-PBE)

Data for crystalline TbNd3Ho2Tm6 at its relaxed geometry.

a b c (Å): 6.1553 6.1553 11.6854
angles (deg): 95.03 95.03 119.97
Fractional coordinates of all 12 atoms:
Tb 0.0000 0.0000 0.0000
Nd 0.1667 0.8333 0.5000
Nd 0.5000 0.5000 0.5000
Nd 0.8333 0.1667 0.5000
Ho 0.3333 0.6667 0.0000
Ho 0.6667 0.3333 0.0000
Tm 0.0824 0.4158 0.2464
Tm 0.2511 0.2511 0.7535
Tm 0.4158 0.0824 0.2464
Tm 0.5842 0.9176 0.7536
Tm 0.7489 0.7489 0.2465
Tm 0.9176 0.5842 0.7536

Properties
DFT formation energy	0.023	eV per atom
spin magnetization	0.00	μB/cell

=====

Record 4
## ErPaCuRu (GGA-PBE)

Data for crystalline ErPaCuRu at its relaxed geometry.

a b c (Å): 4.8430 4.8430 4.8430
angles (deg): 60.00 60.00 60.00
Fractional coordinates of all 4 atoms:
Er 0.0000 0.0000 0.0000
Pa 0.5000 0.5000 0.5000
Cu 0.2500 0.2500 0.2500
Ru 0.7500 0.7500 0.7500

Properties
DFT formation energy	-0.224	eV per atom
spin magnetization	0.00	μB/cell

=====

Record 5
## Sr3LiY3Te8 (GGA-PBE)

Data for crystalline Sr3LiY3Te8 at its relaxed geometry.

a b c (Å): 9.1624 9.1624 9.1624
angles (deg): 58.53 58.53 58.53
Fractional coordinates of all 15 atoms:
Sr 0.0000 0.5000 0.5000
Sr 0.5000 0.0000 0.5000
Sr 0.5000 0.5000 0.0000
Li 0.5000 0.5000 0.5000
Y 0.0000 0.0000 0.5000
Y 0.0000 0.5000 0.0000
Y 0.5000 0.0000 0.0000
Te 0.2380 0.7440 0.7440
Te 0.2436 0.2436 0.2436
Te 0.2560 0.2560 0.7620
Te 0.2560 0.7620 0.2560
Te 0.7440 0.2380 0.7440
Te 0.7440 0.7440 0.2380
Te 0.7564 0.7564 0.7564
Te 0.7620 0.2560 0.2560

Properties
energy relative to the elements, uncorrected	-1443	meV/atom
spin magnetization	0.00	μB/cell

=====

Record 6
## CePaSn (GGA-PBE)

Data for crystalline CePaSn at its relaxed geometry.

a b c (Å): 5.5511 5.5511 5.5511
angles (deg): 135.72 135.72 64.41
Fractional coordinates of all 3 atoms:
Ce 0.0000 0.0000 0.0000
Pa 0.2851 0.2851 0.0000
Sn 0.6429 0.6429 0.0000

Properties
DFT formation energy	-0.226	eV per atom
spin magnetization	1.21	μB/cell
ΔE to the lowest computed polymorph	0.000	eV per atom

=====

Record 7
## La2SnSb3Ir4 (GGA-PBE)

Data for crystalline La2SnSb3Ir4 at its relaxed geometry.

a b c (Å): 4.5061 4.5061 10.8810
angles (deg): 90.00 90.00 90.00
Fractional coordinates of all 10 atoms:
La 0.0000 0.5000 0.2469
La 0.5000 0.0000 0.7531
Sn 0.0000 0.0000 0.5000
Sb 0.0000 0.5000 0.8661
Sb 0.5000 0.0000 0.1339
Sb 0.5000 0.5000 0.5000
Ir 0.0000 0.0000 0.0000
Ir 0.0000 0.5000 0.6291
Ir 0.5000 0.0000 0.3709
Ir 0.5000 0.5000 0.0000

Properties
energy relative to the elements, uncorrected	-655	meV/atom
spin magnetization	0.04	μB/cell

=====

Record 8
## ZnNiOsSe2 (GGA-PBE)

Data for crystalline ZnNiOsSe2 at its relaxed geometry.

a b c (Å): 4.7124 4.7124 4.7057
angles (deg): 90.00 90.00 90.00
Fractional coordinates of all 5 atoms:
Zn 0.0000 0.0000 0.0000
Ni 0.5000 0.5000 0.5000
Os 0.0000 0.0000 0.5000
Se 0.0000 0.5000 0.0000
Se 0.5000 0.0000 0.0000

Properties
energy relative to the elements, uncorrected	1610	meV/atom
spin magnetization	0.75	μB/cell